1.
Zr2In2Rh | GGA-PBE | optimized geometry

The calculation puts the energy relative to the lowest polymorph listed for this composition at 0.471 eV/atom. The density of states at the Fermi level is 12.4 states/eV/cell. For the total energy, the calculation gives -5.762 eV/atom. Its magnetic moment is 0.000 μB per atom. The calculation puts the formation energy at 0.223 eV/atom.

The structure belongs to space group I4/mmm (No. 139); the cell edges are 3.809, 3.809 and 15.704 Å and the angles 90.00°, 90.00° and 90.00°. The inequivalent atoms are Zr at (0.000, 0.000, 0.090), In at (0.000, 0.500, 0.250) and Rh at (0.000, 0.000, 0.500).



2.
MgMn2MoPd | GGA-PBE | optimized geometry

The density of states at the Fermi level is 9.3 states/eV/cell. For the total energy, the calculation gives -5.490 eV/atom. Its magnetic moment is 0.677 μB per atom. The calculation puts the formation energy at 1.702 eV/atom.

The structure belongs to space group P4/mmm (No. 123); the cell edges are 4.532, 4.532 and 4.520 Å and the angles 90.00°, 90.00° and 90.00°. The inequivalent atoms are Mg at (0.000, 0.000, 0.000), Mn at (0.000, 0.500, 0.500), Mo at (0.500, 0.500, 0.000) and Pd at (0.000, 0.000, 0.500).



3.
GdPuInHg | GGA-PBE | optimized geometry

The density of states at the Fermi level is 41.7 states/eV/cell. For the total energy, the calculation gives -8.121 eV/atom. Its magnetic moment is 0.260 μB per atom. The calculation puts the formation energy at -0.258 eV/atom.

The structure belongs to space group F-43m (No. 216); the cell edges are 7.618, 7.618 and 7.618 Å and the angles 90.00°, 90.00° and 90.00°. The inequivalent atoms are Gd at (0.000, 0.000, 0.000), Pu at (0.000, 0.000, 0.500), In at (0.250, 0.250, 0.750) and Hg at (0.250, 0.250, 0.250).



4.
La2RuCI | GGA-PBE | optimized geometry

The density of states at the Fermi level is 3.8 states/eV/cell. The value obtained for the uncorrected formation energy is -42.77 kJ per mole of atoms. For the total energy, the calculation gives -6.424 eV/atom. Its magnetic moment is 0.000 μB per atom.

The structure belongs to space group P4/mmm (No. 123); the cell edges are 5.470, 5.470 and 3.934 Å and the angles 90.00°, 90.00° and 90.00°. The inequivalent atoms are La at (0.000, 0.500, 0.000), Ru at (0.000, 0.000, 0.500), C at (0.000, 0.000, 0.000) and I at (0.500, 0.500, 0.500).



5.
KLa2Mn | GGA-PBE | optimized geometry

The calculation puts the energy relative to the lowest polymorph listed for this composition at 0.463 eV/atom. The density of states at the Fermi level is 27.0 states/eV/cell. For the total energy, the calculation gives -4.300 eV/atom. Its magnetic moment is 0.815 μB per atom. The calculation puts the formation energy at 0.730 eV/atom.

The structure belongs to space group F-43m (No. 216); the cell edges are 8.099, 8.099 and 8.099 Å and the angles 90.00°, 90.00° and 90.00°. The inequivalent atoms are K at (0.000, 0.000, 0.000), La at (0.000, 0.000, 0.500), La at (0.250, 0.250, 0.250) and Mn at (0.250, 0.250, 0.750).



6.
Tb7Sn2Rh2 | GGA-PBE | optimized geometry

The density of states at the Fermi level is 18.9 states/eV/cell. For the total energy, the calculation gives -5.512 eV/atom. Its magnetic moment is 0.000 μB per atom. The calculation puts the formation energy at -0.501 eV/atom.

The structure belongs to space group Cmmm (No. 65); the cell edges are 8.174, 10.954 and 7.121 Å and the angles 90.00°, 90.00° and 90.00°. The inequivalent atoms are Tb at (0.000, 0.000, 0.000), Tb at (0.000, 0.500, 0.237), Tb at (0.250, 0.250, 0.249), Sn at (0.181, 0.000, 0.500) and Rh at (0.000, 0.285, 0.000).



7.
Y2BeB2Rh5 | GGA-PBE | optimized geometry

The density of states at the Fermi level is 9.5 states/eV/cell. For the total energy, the calculation gives -7.372 eV/atom. Its magnetic moment is 0.000 μB per atom. The calculation puts the formation energy at -0.695 eV/atom.

The structure belongs to space group P4/mbm (No. 127); the cell edges are 9.430, 9.430 and 3.126 Å and the angles 90.00°, 90.00° and 90.00°. The inequivalent atoms are Y at (0.176, 0.324, 0.000), Be at (0.000, 0.000, 0.000), B at (0.125, 0.625, 0.000), Rh at (0.000, 0.500, 0.500) and Rh at (0.068, 0.787, 0.500).



8.
Ba4NdS5 | GGA-PBE | optimized geometry

The density of states at the Fermi level is 5.2 states/eV/cell. The value obtained for the uncorrected formation energy is -195.33 kJ per mole of atoms. For the total energy, the calculation gives -5.334 eV/atom. Its magnetic moment is 0.000 μB per atom.

The structure belongs to space group I4 (No. 79); the cell edges are 9.940, 9.940 and 6.298 Å and the angles 90.00°, 90.00° and 90.00°. The inequivalent atoms are Ba at (0.097, 0.300, 0.000), Nd at (0.000, 0.000, 0.499), S at (0.000, 0.000, 0.002) and S at (0.093, 0.278, 0.500).



9.
Ga2TcRu | GGA-PBE | optimized geometry

The calculation puts the energy relative to the lowest polymorph listed for this composition at 0.519 eV/atom. The density of states at the Fermi level is 15.5 states/eV/cell. For the total energy, the calculation gives -6.062 eV/atom. Its magnetic moment is 0.338 μB per atom. The calculation puts the formation energy at 0.362 eV/atom.

The structure belongs to space group I-42d (No. 122); the cell edges are 6.806, 6.806 and 5.499 Å and the angles 90.00°, 90.00° and 90.00°. The inequivalent atoms are Ga at (0.243, 0.750, 0.125), Tc at (0.000, 0.000, 0.500) and Ru at (0.000, 0.000, 0.000).



10.
CaSm2Cd | GGA-PBE | optimized geometry

The calculation puts the energy relative to the lowest polymorph listed for this composition at 0.000 eV/atom. The density of states at the Fermi level is 5.1 states/eV/cell. For the total energy, the calculation gives -3.175 eV/atom. Its magnetic moment is 0.000 μB per atom. The calculation puts the formation energy at -0.086 eV/atom.

The structure belongs to space group P4/mmm (No. 123); the cell edges are 3.838, 3.838 and 8.920 Å and the angles 90.00°, 90.00° and 90.00°. The inequivalent atoms are Ca at (0.000, 0.000, 0.000), Sm at (0.500, 0.500, 0.296) and Cd at (0.000, 0.000, 0.500).